# Be2TlPbI

A geometry-optimized Be2TlPbI structure (PBEsol, the Alexandria database).

Unit cell a=4.629 b=4.629 c=6.503 alpha=90.00 beta=90.00 gamma=90.00
Fractional positions:
1 Be 0.000 0.500 0.000
2 Be 0.500 0.000 0.000
3 Tl 0.000 0.000 0.000
4 Pb 0.500 0.500 0.500
5 I 0.000 0.000 0.500

Calculated values
Crystal system: tetragonal
DOS(E_F): 2.80 states/eV per cell
Formation energy (no corrections): 0.8038 eV per atom
Magnetic moment: 0.0 μB per cell

***

# Be2PdI

A geometry-optimized Be2PdI structure (PBEsol, the Alexandria database).

Unit cell a=4.368 b=4.368 c=4.368 alpha=60.00 beta=60.00 gamma=60.00
Fractional positions:
1 Be 0.250 0.250 0.250
2 Be 0.750 0.750 0.750
3 Pd 0.000 0.000 0.000
4 I 0.500 0.500 0.500

Calculated values
Crystal system: cubic
DOS(E_F): 1.42 states/eV per cell
Formation energy (no corrections): 0.7637 eV per atom
Magnetic moment: 0.0 μB per cell